A geometry-optimized YbZn2Si2 structure, computed with PBE.

Cell: 4.2125 4.2125 5.8797 Å, 111.02 111.02 89.99°
Fractional coordinates of all 5 atoms:
Zn 0.7499 0.2501 0.5000
Zn 0.2501 0.7499 0.5000
Yb 0.0000 0.0000 0.0000
Si 0.6155 0.6155 0.2306
Si 0.3845 0.3845 0.7694

Computed properties:
ΔE_f (raw) = -0.336 eV/atom
Space group = I4/mmm
Crystal system = tetragonal
Spin magnetization = 0.00 μB per formula unit
Density = 6.65 g/cm³
Total DFT energy (no corrections) = -3.320 eV/atom

A geometry-optimized PaFe2Co structure, computed with PBE.

Cell: 3.8904 3.8118 3.8118 Å, 90.00 90.00 90.00°
Site moments in Bohr magnetons follow the coordinates.
Fractional coordinates of all 4 atoms:
Pa 0.5000 0.5000 0.5000  -0.65
Co 0.5000 0.0000 0.0000  0.74
Fe 0.0000 0.0000 0.5000  1.72
Fe 0.0000 0.5000 0.0000  1.72

Computed properties:
E above lowest polymorph = 64 meV/atom
Space group = P4/mmm
Crystal system = tetragonal
Spin magnetization = 3.48 μB per formula unit
Energy of formation = -119 meV/atom
Density = 11.80 g/cm³
Total DFT energy (no corrections) = -8.501 eV/atom

A geometry-optimized NaPd2Cl structure, computed with PBE.

Cell: 4.6459 4.6459 4.6459 Å, 60.00 60.00 60.00°
Site moments in Bohr magnetons follow the coordinates.
Fractional coordinates of all 4 atoms:
Na 0.0000 0.0000 0.0000  0.00
Pd 0.2500 0.2500 0.2500  0.09
Pd 0.7500 0.7500 0.7500  0.09
Cl 0.5000 0.5000 0.5000  0.01

Computed properties:
E above lowest polymorph = 183 meV/atom
ΔE_f (raw) = 0.152 eV/atom
Space group = Fm-3m
Crystal system = cubic
Spin magnetization = 0.18 μB per formula unit
Density = 6.35 g/cm³
Total DFT energy (no corrections) = -3.236 eV/atom

A geometry-optimized NbNi2HPd structure, computed with PBE.

Cell: 4.5812 4.9174 4.5812 Å, 90.00 90.00 90.00°
Site moments in Bohr magnetons follow the coordinates.
Fractional coordinates of all 5 atoms:
Ni 0.0000 0.0000 0.5000  0.03
Ni 0.5000 0.0000 0.0000  0.05
Nb 0.0000 0.0000 0.0000  0.11
Pd 0.0000 0.5000 0.0000  0.00
H 0.5000 0.5000 0.5000  0.27

Computed properties:
E above lowest polymorph = 1836 meV/atom
Space group = P4/mmm
Crystal system = tetragonal
Spin magnetization = 0.76 μB per formula unit
Density = 5.11 g/cm³
Total DFT energy (no corrections) = -4.300 eV/atom

A geometry-optimized VReNiW structure, computed with PBE.

Cell: 4.3056 4.3056 4.3056 Å, 60.00 60.00 60.00°
Fractional coordinates of all 4 atoms:
Re 0.7500 0.7500 0.7500
V 0.0000 0.0000 0.0000
W 0.5000 0.5000 0.5000
Ni 0.2500 0.2500 0.2500

Computed properties:
Space group = F-43m
Crystal system = cubic
Spin magnetization = 0.00 μB per formula unit
Energy of formation = 19 meV/atom
Density = 14.11 g/cm³
Total DFT energy (no corrections) = -10.056 eV/atom

A geometry-optimized Sr2AcSn3Pt4 structure, computed with PBE.

Cell: 4.8291 4.8291 11.1547 Å, 90.00 90.00 90.00°
Fractional coordinates of all 10 atoms:
Sr 0.5000 0.0000 0.2165
Sr 0.0000 0.5000 0.7835
Ac 0.5000 0.5000 0.5000
Sn 0.0000 0.0000 0.5000
Sn 0.5000 0.0000 0.8870
Sn 0.0000 0.5000 0.1130
Pt 0.5000 0.5000 0.0000
Pt 0.0000 0.0000 0.0000
Pt 0.5000 0.0000 0.6506
Pt 0.0000 0.5000 0.3494

Computed properties:
Space group = P-4m2
Crystal system = tetragonal
Spin magnetization = 0.00 μB per formula unit
Energy of formation = -811 meV/atom
Density = 9.82 g/cm³
Total DFT energy (no corrections) = -5.175 eV/atom

A geometry-optimized CeB2H6 structure, computed with PBE.

Cell: 4.5284 4.5284 4.5284 Å, 60.00 60.00 60.00°
Fractional coordinates of all 9 atoms:
Ce 0.0000 0.0000 0.0000
B 0.7500 0.7500 0.7500
B 0.2500 0.2500 0.2500
H 0.3582 0.6418 0.6418
H 0.6418 0.6418 0.3582
H 0.6418 0.3582 0.6418
H 0.6418 0.3582 0.3582
H 0.3582 0.3582 0.6418
H 0.3582 0.6418 0.3582

Computed properties:
E above lowest polymorph = 1150 meV/atom
Space group = Fm-3m
Crystal system = cubic
Spin magnetization = 0.00 μB per formula unit
Density = 4.24 g/cm³
Total DFT energy (no corrections) = -3.163 eV/atom

A geometry-optimized BeCrSi3 structure, computed with PBE.

Cell: 4.1683 4.1683 4.1683 Å, 90.00 90.00 90.00°
Fractional coordinates of all 5 atoms:
Cr 0.5000 0.5000 0.5000
Si 0.0000 0.5000 0.0000
Si 0.0000 0.0000 0.5000
Si 0.5000 0.0000 0.0000
Be 0.0000 0.0000 0.0000

Computed properties:
E above lowest polymorph = 370 meV/atom
ΔE_f (raw) = 1.128 eV/atom
Space group = Pm-3m
Crystal system = cubic
Spin magnetization = 0.12 μB per formula unit
Density = 3.33 g/cm³
Total DFT energy (no corrections) = -4.795 eV/atom